Entry 1:
An optimized crystal structure of AcScCl, computed with PBE-GGA.

Cell: 3.896 4.818 10.334 Å, 90.00 90.00 90.00°
Space group Pmmn (No. 59, origin choice 2)
One atom of each set of equivalent atoms:
Ac (0.250, 0.250, 0.210) x2
Sc (0.250, 0.250, 0.557) x2
Cl (0.250, 0.750, 0.041) x2

Density of states at the Fermi level in states/eV/cell: 7.2
Formation energy from raw total energies in eV per atom: -0.757

***

Entry 2:
An optimized crystal structure of AcSe2Cl8, computed with PBE-GGA.

Cell: 12.868 8.833 7.845 Å, 90.00 114.98 90.00°
Space group C2/m (No. 12)
One atom of each set of equivalent atoms:
Ac (0.000, 0.000, 0.000) x2
Se (0.163, 0.000, 0.576) x4
Cl (0.050, 0.204, 0.769) x8
Cl (0.177, 0.500, 0.177) x4
Cl (0.236, 0.000, 0.358) x4

Density of states at the Fermi level in states/eV/cell: 11.9
Formation energy from raw total energies in eV per atom: -0.866

***

Entry 3:
An optimized crystal structure of AcSeCl, computed with PBE-GGA.

Cell: 4.6287 4.6287 6.4564 Å, 90.00 90.00 120.00°
Space group P3m1 (No. 156)
One atom of each set of equivalent atoms:
Ac (0.0000, 0.0000, 0.0000) x1
Se (0.3333, 0.6667, 0.2154) x1
Cl (0.6667, 0.3333, 0.7629) x1

Density of states at the Fermi level in states/eV/cell: 0.0
Offset from the most stable computed form in eV/atom: 0.1436
Formation energy from raw total energies in eV per atom: -2.075

***

Entry 4:
An optimized crystal structure of AcSeCl, computed with PBE-GGA.

Cell: 5.105 5.105 7.308 Å, 90.00 90.00 90.00°
Space group P4_2/mmc (No. 131)
One atom of each set of equivalent atoms:
Ac (0.000, 0.500, 0.000) x2
Se (0.000, 0.000, 0.250) x2
Cl (0.500, 0.500, 0.250) x2

Density of states at the Fermi level in states/eV/cell: 0.0
Offset from the most stable computed form in eV/atom: 0.0521
Formation energy from raw total energies in eV per atom: -2.167

***

Entry 5:
An optimized crystal structure of Ac2SeCl, computed with PBE-GGA.

Cell: 7.661 7.661 7.661 Å, 90.00 90.00 90.00°
Space group Fm-3m (No. 225)
One atom of each set of equivalent atoms:
Ac (0.250, 0.250, 0.250) x8
Se (0.000, 0.000, 0.000) x4
Cl (0.000, 0.000, 0.500) x4

Density of states at the Fermi level in states/eV/cell: 11.0
Offset from the most stable computed form in eV/atom: 0.0983
Formation energy from raw total energies in eV per atom: -1.391

***

Entry 6:
An optimized crystal structure of Ac2Se2Cl, computed with PBE-GGA.

Cell: 14.229 6.208 9.128 Å, 90.00 112.92 90.00°
Space group C2/m (No. 12)
One atom of each set of equivalent atoms:
Ac (0.018, 0.000, 0.253) x4
Ac (0.168, 0.500, 0.075) x4
Se (0.019, 0.500, 0.249) x4
Se (0.167, 0.000, 0.080) x4
Cl (0.144, 0.000, 0.607) x4

Density of states at the Fermi level in states/eV/cell: 9.6
Formation energy from raw total energies in eV per atom: -1.978

***

Entry 7:
An optimized crystal structure of Ac2SeCl, computed with PBE-GGA.

Cell: 4.2446 4.2446 29.1957 Å, 90.00 90.00 120.00°
Space group R-3m (No. 166, hexagonal axes)
One atom of each set of equivalent atoms:
Ac (0.0000, 0.0000, 0.0983) x6
Se (0.0000, 0.0000, 0.5000) x3
Cl (0.0000, 0.0000, 0.0000) x3

Density of states at the Fermi level in states/eV/cell: 5.9
Offset from the most stable computed form in eV/atom: 0.0000
Formation energy from raw total energies in eV per atom: -1.489

***

Entry 8:
An optimized crystal structure of Ac4Se4Cl, computed with PBE-GGA.

Cell: 7.133 7.133 14.149 Å, 90.00 90.00 90.00°
Space group I-42m (No. 121)
One atom of each set of equivalent atoms:
Ac (0.250, 0.250, 0.126) x8
Se (0.000, 0.000, 0.246) x4
Se (0.000, 0.500, 0.000) x4
Cl (0.000, 0.000, 0.500) x2

Density of states at the Fermi level in states/eV/cell: 6.5
Formation energy from raw total energies in eV per atom: -1.659

***

Entry 9:
An optimized crystal structure of AcSeCl2, computed with PBE-GGA.

Cell: 4.2836 4.2836 29.6880 Å, 90.00 90.00 120.00°
Space group R-3m (No. 166, hexagonal axes)
One atom of each set of equivalent atoms:
Ac (0.0000, 0.0000, 0.0000) x3
Se (0.0000, 0.0000, 0.5000) x3
Cl (0.0000, 0.0000, 0.3883) x6

Density of states at the Fermi level in states/eV/cell: 8.4
Formation energy from raw total energies in eV per atom: -0.982

***

Entry 10:
An optimized crystal structure of AcSeCl6, computed with PBE-GGA.

Cell: 6.498 6.680 7.145 Å, 90.03 114.89 113.96°
Space group P-1 (No. 2)
One atom of each set of equivalent atoms:
Ac (0.000, 0.000, 0.000) x1
Se (0.000, 0.500, 0.500) x1
Cl (0.157, 0.435, 0.265) x2
Cl (0.181, 0.281, 0.724) x2
Cl (0.496, 0.914, 0.753) x2

Density of states at the Fermi level in states/eV/cell: 1.0
Formation energy from raw total energies in eV per atom: -1.191

***

Entry 11:
An optimized crystal structure of AcSe6Cl12, computed with PBE-GGA.

Cell: 10.8904 10.8904 20.1444 Å, 90.00 90.00 120.00°
Space group R-3 (No. 148, hexagonal axes)
One atom of each set of equivalent atoms:
Ac (0.0000, 0.0000, 0.0000) x3
Se (0.0365, 0.8836, 0.6478) x18
Cl (0.0355, 0.2302, 0.2565) x18
Cl (0.0675, 0.2513, 0.0777) x18

Density of states at the Fermi level in states/eV/cell: 36.1
Formation energy from raw total energies in eV per atom: -0.545

***

Entry 12:
An optimized crystal structure of Ac3Se3Cl, computed with PBE-GGA.

Cell: 10.7470 10.7470 6.4140 Å, 90.00 90.00 120.00°
Space group R-3m (No. 166, hexagonal axes)
One atom of each set of equivalent atoms:
Ac (0.0000, 0.5000, 0.0000) x9
Se (0.0000, 0.5000, 0.5000) x9
Cl (0.0000, 0.0000, 0.5000) x3

Density of states at the Fermi level in states/eV/cell: 7.0
Formation energy from raw total energies in eV per atom: -1.766

***

Entry 13:
An optimized crystal structure of AcSeCl, computed with PBE-GGA.

Cell: 7.246 7.246 7.246 Å, 90.00 90.00 90.00°
Space group F-43m (No. 216)
One atom of each set of equivalent atoms:
Ac (0.000, 0.000, 0.000) x4
Se (0.250, 0.250, 0.250) x4
Cl (0.250, 0.250, 0.750) x4

Density of states at the Fermi level in states/eV/cell: 0.0
Offset from the most stable computed form in eV/atom: 0.0000
Formation energy from raw total energies in eV per atom: -2.219